Here is crystalline Sr2AlGaNi2O7 at its relaxed geometry from Alexandria. Energies are from PBE with a Hubbard U.

a = 11.2276 Å, b = 11.2276 Å, c = 5.8592 Å
α = 82.82°, β = 82.82°, γ = 27.26°
Last column: nearest neighbours and their distance in Å.
Fractional coordinates of all 26 atoms:
O 0.8486 0.7229 0.6704  2 Al 1.93-2.04
O 0.2614 0.9118 0.1893  1 Ga 1.85
O 0.6097 0.4137 0.0973  2 Ga 1.91-1.92
O 0.7380 0.6230 0.9699  1 Al 1.82, 1 Ni 2.01
O 0.7229 0.8486 0.1704  2 Al 1.93-2.04
O 0.1943 0.2393 0.3812  1 Al 1.96, 3 Ni 2.06-2.10
O 0.6230 0.7380 0.4699  1 Al 1.82, 1 Ni 2.01
O 0.4137 0.6097 0.5973  2 Ga 1.91-1.92
O 0.2205 0.4257 0.0279  1 Al 1.85, 2 Ni 2.00-2.02
O 0.4257 0.2205 0.5279  1 Al 1.85, 2 Ni 2.00-2.02
O 0.1166 0.7407 0.2976  1 Ga 1.83
O 0.7407 0.1166 0.7976  1 Ga 1.83
O 0.2393 0.1943 0.8812  1 Al 1.96, 3 Ni 2.06-2.10
O 0.9118 0.2614 0.6893  1 Ga 1.85
Ni 0.5089 0.0947 0.8596  5 O 2.00-2.24
Ni 0.0947 0.5089 0.3596  5 O 2.00-2.24
Ni 0.4249 0.9419 0.1598  5 O 2.01-2.13
Ni 0.9419 0.4249 0.6598  5 O 2.01-2.13
Sr 0.8443 0.3689 0.2640  5 O 2.40-2.65
Sr 0.6531 0.1531 0.2267  4 O 2.43-2.53
Sr 0.3689 0.8443 0.7640  5 O 2.40-2.65
Sr 0.1531 0.6531 0.7267  4 O 2.43-2.53
Al 0.5468 0.9648 0.4646  5 O 1.82-2.04
Al 0.9648 0.5468 0.9646  5 O 1.82-2.04
Ga 0.3100 0.7069 0.2847  4 O 1.83-1.92
Ga 0.7069 0.3100 0.7847  4 O 1.83-1.92

Output
- Symmetry: No. 9
- Uncorrected energy: -0.2167 Ha/atom
- Magnetic moment: 8.00 μB per cell